[1]
Computed, not measured: a geometry-optimized VZnH structure at the PBE level of DFT.

Cell: 2.7718 2.7718 9.9074 Å, 90.00 90.00 120.00°
Atoms (fractional coordinates):
V1 0.3333 0.6667 0.0000
V2 0.6667 0.3333 0.5000
Zn1 0.3333 0.6667 0.7177
Zn2 0.6667 0.3333 0.2177
H1 0.0000 0.0000 0.4161
H2 0.0000 0.0000 0.9161

Computed properties:
offset from the most stable computed form	0.162	eV per atom
DOS(E_F)	0.75	states/eV/atom

***

[2]
Computed, not measured: a geometry-optimized As2OsSe structure at the PBE level of DFT.

Cell: 4.5705 4.5705 4.5705 Å, 60.00 60.00 60.00°
Atoms (fractional coordinates):
As1 0.2500 0.2500 0.2500
As2 0.7500 0.7500 0.7500
Os1 0.0000 0.0000 0.0000
Se1 0.5000 0.5000 0.5000

Computed properties:
offset from the most stable computed form	0.662	eV per atom
formation energy (no corrections)	0.7593	eV per atom
DOS(E_F)	1.02	states/eV/atom